Entry from the Alexandria database: LiHfTeN2 after structural relaxation (PBE).

Results
Symmetry ... P4/mmm (123)
Formation energy without anion corrections ... 1.16 eV per atom
Calculated total energy ... -5.168 eV per atom
Density of states at the Fermi level ... 0.571 states/eV per atom
Relative energy among the computed polymorphs ... 5.491 eV/f.u.

The structure in POSCAR format:
```
LiHfTeN2
1.0
3.9926 0.0000 0.0000
0.0000 3.9926 0.0000
0.0000 0.0000 4.5451
Li Hf Te N
1 1 1 2
Direct
0.0000 0.0000 0.0000
0.5000 0.5000 0.5000
0.0000 0.0000 0.5000
0.0000 0.5000 0.0000
0.5000 0.0000 0.0000
```

Entry from the Alexandria database: LuTaPdRu after structural relaxation (PBE).

Results
Symmetry ... F-43m (216)
Calculated formation energy ... -0.406 eV per atom
Calculated total energy ... -8.117 eV per atom
Density of states at the Fermi level ... 0.863 states/eV per atom

The structure in POSCAR format:
```
LuTaPdRu
1.0
0.0000 3.2813 3.2813
3.2813 0.0000 3.2813
3.2813 3.2813 0.0000
Lu Ta Pd Ru
1 1 1 1
Direct
0.0000 0.0000 0.0000
0.5000 0.5000 0.5000
0.2500 0.2500 0.2500
0.7500 0.7500 0.7500
```

Entry from the Alexandria database: Rb3SrSn after structural relaxation (PBE).

Results
Symmetry ... Pm-3m (221)
Calculated formation energy ... 0.209 eV per atom
Calculated total energy ... -1.509 eV per atom
Density of states at the Fermi level ... 0.491 states/eV per atom
Relative energy among the computed polymorphs ... 0.000 eV/f.u.

The structure in POSCAR format:
```
Rb3SrSn
1.0
7.1931 0.0000 0.0000
0.0000 7.1931 0.0000
0.0000 0.0000 7.1931
Rb Sr Sn
3 1 1
Direct
0.0000 0.0000 0.5000
0.0000 0.5000 0.0000
0.5000 0.0000 0.0000
0.5000 0.5000 0.5000
0.0000 0.0000 0.0000
```

Entry from the Alexandria database: Sr2In3Hg5 after structural relaxation (PBE).

Results
Symmetry ... Ibam (72)
Calculated formation energy ... -0.295 eV per atom
Calculated total energy ... -1.603 eV per atom
Density of states at the Fermi level ... 0.428 states/eV per atom

The structure in POSCAR format:
```
Sr2In3Hg5
1.0
-6.2238 6.7478 3.4047
6.2238 -6.7478 3.4047
6.2238 6.7478 -3.4047
Sr In Hg
4 6 10
Direct
0.1265 0.2404 0.3669
0.3735 0.7404 0.1139
0.6265 0.2596 0.8861
0.8735 0.7596 0.6331
0.1325 0.8745 0.0070
0.2500 0.7500 0.5000
0.3675 0.3745 0.7420
0.6325 0.6255 0.2580
0.7500 0.2500 0.5000
0.8675 0.1255 0.9930
0.0150 0.7500 0.2650
0.1152 0.6506 0.7658
0.2500 0.2500 0.0000
0.3848 0.1506 0.5354
0.4850 0.7500 0.7350
0.5150 0.2500 0.2650
0.6152 0.8494 0.4646
0.7500 0.7500 0.0000
0.8848 0.3494 0.2342
0.9850 0.2500 0.7350
```

Entry from the Alexandria database: YSi2Ag after structural relaxation (PBE).

Results
Symmetry ... R3m (160)
Formation energy without anion corrections ... -0.10 eV per atom
Calculated total energy ... -5.139 eV per atom
Density of states at the Fermi level ... 0.346 states/eV per atom

The structure in POSCAR format:
```
YSi2Ag
1.0
2.1062 1.2160 5.1734
-2.1062 1.2160 5.1734
0.0000 -2.4321 5.1734
Y Si Ag
1 2 1
Direct
0.0000 0.0000 0.0000
0.4910 0.4910 0.4910
0.7801 0.7801 0.7801
0.2188 0.2188 0.2188
```

Entry from the Alexandria database: Zr4Ga2Au5 after structural relaxation (PBE).

Results
Symmetry ... P2/m (10)
Calculated formation energy ... -0.466 eV per atom
Calculated total energy ... -5.614 eV per atom
Density of states at the Fermi level ... 0.673 states/eV per atom

The structure in POSCAR format:
```
Zr4Ga2Au5
1.0
7.1766 0.0000 0.0000
0.0000 3.1787 0.0000
-0.6584 0.0000 9.3119
Zr Ga Au
4 2 5
Direct
0.1737 0.0000 0.3827
0.2715 0.0000 0.9431
0.7285 0.0000 0.0569
0.8263 0.0000 0.6173
0.0575 0.5000 0.1357
0.9425 0.5000 0.8643
0.1813 0.5000 0.6586
0.4352 0.5000 0.1923
0.5000 0.5000 0.5000
0.5648 0.5000 0.8077
0.8187 0.5000 0.3414
```

Entry from the Alexandria database: LaV2C after structural relaxation (PBE).

Results
Symmetry ... Fd-3m (227)
Calculated formation energy ... 0.352 eV per atom
Calculated total energy ... -7.745 eV per atom
Density of states at the Fermi level ... 1.132 states/eV per atom

The structure in POSCAR format:
```
LaV2C
1.0
0.0000 4.3251 4.3251
4.3251 0.0000 4.3251
4.3251 4.3251 0.0000
La V C
2 4 2
Direct
0.1250 0.1250 0.1250
0.8750 0.8750 0.8750
0.0000 0.5000 0.5000
0.5000 0.0000 0.5000
0.5000 0.5000 0.0000
0.5000 0.5000 0.5000
0.3750 0.3750 0.3750
0.6250 0.6250 0.6250
```

Entry from the Alexandria database: RbHfVRh2 after structural relaxation (PBE).

Results
Symmetry ... P4/mmm (123)
Calculated formation energy ... 1.233 eV per atom
Calculated total energy ... -5.716 eV per atom
Density of states at the Fermi level ... 1.050 states/eV per atom

The structure in POSCAR format:
```
RbHfVRh2
1.0
4.6438 0.0000 0.0000
0.0000 4.6438 0.0000
0.0000 0.0000 4.8527
Rb Hf V Rh
1 1 1 2
Direct
0.0000 0.0000 0.0000
0.5000 0.5000 0.0000
0.0000 0.0000 0.5000
0.0000 0.5000 0.5000
0.5000 0.0000 0.5000
```